# 1
Material: Bi2TeAu
Method: DFT, PBE-GGA
State: relaxed

Cell: 4.4337 4.4337 21.5942 Å, 90.00 90.00 120.00°
Space group R3m (No. 160, hexagonal axes)
Inequivalent atoms, fractional coordinates:
Bi 0.0000 0.0000 0.0000
Bi 0.0000 0.0000 0.2014
Te 0.0000 0.0000 0.4364
Au 0.0000 0.0000 0.6021

Results
For the formation energy (no corrections), the calculation gives -0.04 eV/atom.

# 2
Material: Bi2Te2Au
Method: DFT, PBE-GGA
State: relaxed

Cell: 6.205 6.205 8.928 Å, 90.00 90.00 90.00°
Space group I4/mmm (No. 139)
Inequivalent atoms, fractional coordinates:
Bi 0.000 0.000 0.190
Te 0.000 0.500 0.250
Au 0.000 0.000 0.500

Results
Its energy above the most stable polymorph in this dataset is 1.4 kJ/mol of atoms. For the formation energy (no corrections), the calculation gives 0.08 eV/atom.

# 3
Material: Bi2TeAu
Method: DFT, PBE-GGA
State: relaxed

Cell: 4.3482 4.3482 21.8910 Å, 90.00 90.00 120.00°
Space group R-3m (No. 166, hexagonal axes)
Inequivalent atoms, fractional coordinates:
Bi 0.0000 0.0000 0.2366
Te 0.0000 0.0000 0.0000
Au 0.0000 0.0000 0.5000

Results
For the formation energy (no corrections), the calculation gives -0.07 eV/atom.

# 4
Material: Bi2TeAu2
Method: DFT, PBE-GGA
State: relaxed

Cell: 9.024 9.024 3.276 Å, 90.00 90.00 90.00°
Space group P4/mbm (No. 127)
Inequivalent atoms, fractional coordinates:
Bi 0.193 0.307 0.000
Te 0.000 0.000 0.000
Au 0.109 0.609 0.500

Results
Its energy above the most stable polymorph in this dataset is 4.4 kJ/mol of atoms. For the formation energy (no corrections), the calculation gives 0.06 eV/atom.

# 5
Material: Bi2TeAu2
Method: DFT, PBE-GGA
State: relaxed

Cell: 3.986 3.986 16.816 Å, 90.00 90.00 90.00°
Space group I4/mmm (No. 139)
Inequivalent atoms, fractional coordinates:
Bi 0.000 0.000 0.113
Te 0.000 0.000 0.500
Au 0.000 0.500 0.250

Results
Its energy above the most stable polymorph in this dataset is 0.0 kJ/mol of atoms. For the formation energy (no corrections), the calculation gives 0.01 eV/atom.

# 6
Material: BiTeAu3
Method: DFT, PBE-GGA
State: relaxed

Cell: 5.272 5.272 5.272 Å, 90.00 90.00 90.00°
Space group Pm-3m (No. 221)
Inequivalent atoms, fractional coordinates:
Bi 0.000 0.000 0.000
Te 0.500 0.500 0.500
Au 0.000 0.500 0.500

Results
Its energy above the most stable polymorph in this dataset is 0.0 kJ/mol of atoms. For the formation energy (no corrections), the calculation gives 0.58 eV/atom.

# 7
Material: BiTeAu2
Method: DFT, PBE-GGA
State: relaxed

Cell: 4.366 7.804 6.571 Å, 90.00 104.76 90.00°
Space group P2_1/m (No. 11)
Inequivalent atoms, fractional coordinates:
Bi 0.103 0.250 0.150
Te 0.473 0.250 0.772
Au 0.293 0.571 0.616

Results
Its energy above the most stable polymorph in this dataset is 6.9 kJ/mol of atoms. For the formation energy (no corrections), the calculation gives 0.04 eV/atom.

# 8
Material: Bi2TeAu
Method: DFT, PBE-GGA
State: relaxed

Cell: 7.878 4.555 6.900 Å, 90.00 90.11 90.00°
Space group C2/m (No. 12)
Inequivalent atoms, fractional coordinates:
Bi 0.166 0.000 0.306
Te 0.000 0.500 0.000
Au 0.000 0.500 0.500

Results
For the formation energy (no corrections), the calculation gives -0.03 eV/atom.

Computed spin magnetization (μB per formula unit) in order:
0.0, 0.0, 0.0, 0.0, 0.0, 0.0, 0.0, 0.0